A plane-wave DFT calculation with GGA-PBE was carried out for crystalline ZrPRhCl2 at its relaxed geometry.

a b c (Å): 4.6007 4.6007 4.8183
angles (deg): 90.00 90.00 90.00
Closest atoms and distances in Å follow each position.
Space group P4/mmm (No. 123)
Inequivalent atoms, fractional coordinates:
Zr1 0.0000 0.0000 0.0000  4 P 3.25, 8 Cl 3.33
P1 0.5000 0.5000 0.0000  2 Rh 2.41
Rh1 0.5000 0.5000 0.5000  4 Cl 2.30, 2 P 2.41
Cl1 0.0000 0.5000 0.5000  2 Rh 2.30

Summary:
Volume, A^3/atom: 20.4
VASP energy, eV/atom: -4.856
Uncorrected formation energy, meV/atom: 145

---

A plane-wave DFT calculation with GGA-PBE was carried out for crystalline ZrPRhCl2 at its relaxed geometry.

a b c (Å): 4.9303 4.9303 5.2040
angles (deg): 90.00 90.00 90.00
Closest atoms and distances in Å follow each position.
Space group P4/mmm (No. 123)
Inequivalent atoms, fractional coordinates:
Zr1 0.0000 0.0000 0.0000  4 Cl 2.47, 2 P 2.60
P1 0.0000 0.0000 0.5000  2 Zr 2.60
Rh1 0.5000 0.5000 0.5000  4 P 3.49, 8 Cl 3.58
Cl1 0.0000 0.5000 0.0000  2 Zr 2.47

Summary:
Volume, A^3/atom: 25.3
VASP energy, eV/atom: -4.960
Uncorrected formation energy, meV/atom: 41

---

A plane-wave DFT calculation with GGA-PBE was carried out for crystalline PRuCl2 at its relaxed geometry.

a b c (Å): 6.3678 6.3678 6.3678
angles (deg): 90.00 90.00 90.00
Closest atoms and distances in Å follow each position.
Space group F-43m (No. 216)
Inequivalent atoms, fractional coordinates:
P1 0.0000 0.0000 0.0000  4 Cl 2.76, 4 Ru 2.76
Ru1 0.2500 0.2500 0.2500  4 Cl 2.76, 4 P 2.76
Cl1 0.0000 0.0000 0.5000  4 Cl 2.76, 4 Ru 2.76
Cl2 0.2500 0.2500 0.7500  4 P 2.76, 4 Cl 2.76

Summary:
Volume, A^3/atom: 16.1
VASP energy, eV/atom: -3.846
Uncorrected formation energy, meV/atom: 749

---

A plane-wave DFT calculation with GGA-PBE was carried out for crystalline P2RuCl at its relaxed geometry.

a b c (Å): 3.3115 3.4657 13.3902
angles (deg): 90.00 90.00 90.00
Closest atoms and distances in Å follow each position.
Space group Imm2 (No. 44)
Inequivalent atoms, fractional coordinates:
P1 0.0000 0.0000 0.0000  2 P 2.22
P2 0.0000 0.5000 0.1042  2 P 2.22, 4 Ru 2.46
Ru1 0.0000 0.5000 0.6449  6 P 2.46-2.55, 2 Cl 2.58
Cl1 0.0000 0.0000 0.2927  2 Ru 2.58

Summary:
Volume, A^3/atom: 19.2
VASP energy, eV/atom: -5.507
Uncorrected formation energy, meV/atom: -22

---

A plane-wave DFT calculation with GGA-PBE was carried out for crystalline P2RuCl at its relaxed geometry.

a b c (Å): 7.8170 3.2321 7.4339
angles (deg): 90.00 105.98 90.00
Closest atoms and distances in Å follow each position.
Space group Cm (No. 8)
Inequivalent atoms, fractional coordinates:
P1 0.0000 0.0000 0.0000  1 P 2.06
P2 0.1459 0.0000 0.8074  1 P 2.06, 1 Ru 2.31
Ru1 0.4125 0.0000 0.7302  5 P 2.31-2.52, 2 Cl 2.50
Cl1 0.3204 0.5000 0.4644  2 Ru 2.50

Summary:
Volume, A^3/atom: 22.6
VASP energy, eV/atom: -5.653
Uncorrected formation energy, meV/atom: -168

---

A plane-wave DFT calculation with GGA-PBE was carried out for crystalline PRuCl2 at its relaxed geometry.

a b c (Å): 6.4165 6.4165 6.4165
angles (deg): 90.00 90.00 90.00
Closest atoms and distances in Å follow each position.
Space group Fm-3m (No. 225)
Inequivalent atoms, fractional coordinates:
P1 0.0000 0.0000 0.0000  8 Cl 2.78
Ru1 0.0000 0.0000 0.5000  8 Cl 2.78
Cl1 0.2500 0.2500 0.2500  4 Ru 2.78, 4 P 2.78

Summary:
Volume, A^3/atom: 16.5
VASP energy, eV/atom: -3.648
Uncorrected formation energy, meV/atom: 947

---

A plane-wave DFT calculation with GGA-PBE was carried out for crystalline PRuCl2 at its relaxed geometry.

a b c (Å): 3.2128 3.2128 25.5799
angles (deg): 90.00 90.00 120.00
Closest atoms and distances in Å follow each position.
Space group R-3m (No. 166, hexagonal axes)
Inequivalent atoms, fractional coordinates:
P1 0.0000 0.0000 0.0000  2 Cl 2.41
Ru1 0.0000 0.0000 0.5000  6 Cl 2.62
Cl1 0.0000 0.0000 0.0944  1 P 2.41, 3 Ru 2.62

Summary:
Volume, A^3/atom: 19.1
VASP energy, eV/atom: -4.012
Uncorrected formation energy, meV/atom: 583

---

A plane-wave DFT calculation with GGA-PBE was carried out for crystalline PRuCl2 at its relaxed geometry.

a b c (Å): 15.0559 3.1071 3.8007
angles (deg): 90.00 93.24 90.00
Closest atoms and distances in Å follow each position.
Space group C2/m (No. 12)
Inequivalent atoms, fractional coordinates:
P1 0.0000 0.0000 0.0000  2 Cl 2.38, 4 Ru 2.45
Ru1 0.0000 0.5000 0.5000  4 P 2.45, 4 Cl 2.71
Cl1 0.1388 0.0000 0.7317  1 P 2.38

Summary:
Volume, A^3/atom: 22.2
VASP energy, eV/atom: -4.575
Uncorrected formation energy, meV/atom: 20

---

The D(E_F) results, record by record, are as follows: 5.55 1.78 15.04 4.58 2.40 9.35 5.89 2.42 states/eV/cell.